Entry 1:
A plane-wave DFT calculation with PBE-GGA was carried out for crystalline YScPC2 at its relaxed geometry.

Calculated values
The symmetry is No. 123.

abc: 4.3569 4.3569 5.2300
angles: 90.00 90.00 90.00
Atoms (fractional coordinates):
1 Y 0.0000 0.0000 0.0000
2 Sc 0.5000 0.5000 0.5000
3 P 0.0000 0.0000 0.5000
4 C 0.0000 0.5000 0.0000
5 C 0.5000 0.0000 0.0000


Entry 2:
A plane-wave DFT calculation with PBE-GGA was carried out for crystalline TaCr2Se at its relaxed geometry.

Calculated values
The symmetry is No. 44.

abc: 3.1394 4.2132 8.6866
angles: 90.00 90.00 90.00
Atoms (fractional coordinates):
1 Ta 0.0000 0.0000 0.0000
2 Ta 0.5000 0.5000 0.5000
3 Cr 0.0000 0.0000 0.5005
4 Cr 0.0000 0.5000 0.7608
5 Cr 0.5000 0.0000 0.2608
6 Cr 0.5000 0.5000 0.0005
7 Se 0.0000 0.5000 0.2352
8 Se 0.5000 0.0000 0.7352


Entry 3:
A plane-wave DFT calculation with PBE-GGA was carried out for crystalline Li4AgPdAu2 at its relaxed geometry.

Calculated values
The symmetry is No. 166.

abc: 7.5883 7.5883 7.5883
angles: 33.48 33.48 33.48
Atoms (fractional coordinates):
1 Li 0.1227 0.1227 0.1227
2 Li 0.3729 0.3729 0.3729
3 Li 0.6271 0.6271 0.6271
4 Li 0.8773 0.8773 0.8773
5 Ag 0.5000 0.5000 0.5000
6 Pd 0.0000 0.0000 0.0000
7 Au 0.2506 0.2506 0.2506
8 Au 0.7494 0.7494 0.7494


Entry 4:
A plane-wave DFT calculation with PBE-GGA was carried out for crystalline Ho4ZnTe2S at its relaxed geometry.

Calculated values
The symmetry is No. 10.

abc: 7.2475 4.0480 7.4057
angles: 90.00 107.93 90.00
Atoms (fractional coordinates):
1 Ho 0.2360 0.0000 0.2137
2 Ho 0.2607 0.5000 0.7761
3 Ho 0.7393 0.5000 0.2239
4 Ho 0.7640 0.0000 0.7863
5 Zn 0.5000 0.0000 0.0000
6 Te 0.0000 0.0000 0.5000
7 Te 0.5000 0.5000 0.5000
8 S 0.0000 0.5000 0.0000


Entry 5:
A plane-wave DFT calculation with PBE-GGA was carried out for crystalline KAg6Sn4 at its relaxed geometry.

Calculated values
The symmetry is No. 187.

abc: 7.9907 7.9907 4.7148
angles: 90.00 90.00 120.00
Atoms (fractional coordinates):
1 K 0.0000 0.0000 0.0000
2 Ag 0.2088 0.4177 0.5000
3 Ag 0.2088 0.7912 0.5000
4 Ag 0.5402 0.0804 0.0000
5 Ag 0.5402 0.4598 0.0000
6 Ag 0.5823 0.7912 0.5000
7 Ag 0.9196 0.4598 0.0000
8 Sn 0.3333 0.6667 0.0000
9 Sn 0.3963 0.1982 0.5000
10 Sn 0.8018 0.1982 0.5000
11 Sn 0.8018 0.6037 0.5000


Entry 6:
A plane-wave DFT calculation with PBE-GGA was carried out for crystalline Zr2InSi at its relaxed geometry.

Calculated values
The symmetry is No. 10.

abc: 3.1337 4.1058 6.3072
angles: 90.00 96.78 90.00
Atoms (fractional coordinates):
1 Zr 0.0588 0.0000 0.2665
2 Zr 0.9412 0.0000 0.7335
3 In 0.5000 0.5000 0.0000
4 Si 0.5000 0.5000 0.5000


Ordered VASP energy results: -5.941 -8.449 -3.223 -4.949 -3.105 -6.697; unit eV/atom.